VASP calculation (GGA-PBE) on LaTb12Tm3 after structural relaxation.

Values from the calculation:
* VASP energy: -4.597 eV/atom
* mass density: 8.30 Mg/m³
* crystal system: tetragonal
* DOS(E_F): 1.4092 states/eV per atom

Geometry as CIF:
```
data_LaTb12Tm3
_cell_length_a 5.0334
_cell_length_b 5.0334
_cell_length_c 20.1508
_cell_angle_alpha 90.00
_cell_angle_beta 90.00
_cell_angle_gamma 90.00
_space_group_name_H-M_alt 'P 4/m m m'
_space_group_IT_number 123
_space_group_name_Hall '-P 4 2'
loop_
_atom_site_label
_atom_site_type_symbol
_atom_site_fract_x
_atom_site_fract_y
_atom_site_fract_z
La1 La 0.0000 0.0000 0.0000
Tb1 Tb 0.0000 0.5000 0.1287
Tb2 Tb 0.0000 0.5000 0.3762
Tb3 Tb 0.5000 0.5000 0.0000
Tb4 Tb 0.5000 0.5000 0.2533
Tb5 Tb 0.5000 0.5000 0.5000
Tm1 Tm 0.0000 0.0000 0.2519
Tm2 Tm 0.0000 0.0000 0.5000
```

VASP calculation (GGA-PBE) on La2Tb8Tm3 after structural relaxation.

Values from the calculation:
* VASP energy: -4.409 eV/atom
* mass density: 7.70 Mg/m³
* crystal system: monoclinic
* DOS(E_F): 1.7195 states/eV per atom

Geometry as CIF:
```
data_La2Tb8Tm3
_cell_length_a 21.1028
_cell_length_b 7.6359
_cell_length_c 5.5012
_cell_angle_alpha 90.00
_cell_angle_beta 90.02
_cell_angle_gamma 90.00
_space_group_name_H-M_alt 'C 1 2/m 1'
_space_group_IT_number 12
_space_group_name_Hall '-C 2y'
loop_
_atom_site_label
_atom_site_type_symbol
_atom_site_fract_x
_atom_site_fract_y
_atom_site_fract_z
La1 La 0.2401 0.0000 0.4993
Tb1 Tb 0.1037 0.2887 0.5002
Tb2 Tb 0.1243 0.0000 0.9999
Tb3 Tb 0.1584 0.5000 0.0004
Tm1 Tm 0.0000 0.0000 0.5000
Tm2 Tm 0.0000 0.2870 0.0000
```

VASP calculation (GGA-PBE) on La7Tb2Tm after structural relaxation.

Values from the calculation:
* excess energy over the best structure of this formula in the dataset: 6.01 kcal/mol of atoms
* mass density: 5.76 Mg/m³
* crystal system: orthorhombic
* DOS(E_F): 1.7778 states/eV per atom

Geometry as CIF:
```
data_La7Tb2Tm
_cell_length_a 8.7852
_cell_length_b 16.7131
_cell_length_c 5.7287
_cell_angle_alpha 90.00
_cell_angle_beta 90.00
_cell_angle_gamma 90.00
_space_group_name_H-M_alt 'C m m m'
_space_group_IT_number 65
_space_group_name_Hall '-C 2 2'
loop_
_atom_site_label
_atom_site_type_symbol
_atom_site_fract_x
_atom_site_fract_y
_atom_site_fract_z
La1 La 0.0000 0.0000 0.0000
La2 La 0.0000 0.2727 0.5000
La3 La 0.1813 0.3885 0.0000
Tb1 Tb 0.0000 0.2066 0.0000
Tm1 Tm 0.0000 0.5000 0.5000
```

VASP calculation (GGA-PBE) on LaTbTm14 after structural relaxation.

Values from the calculation:
* VASP energy: -4.496 eV/atom
* mass density: 9.04 Mg/m³
* crystal system: orthorhombic
* DOS(E_F): 1.3822 states/eV per atom

Geometry as CIF:
```
data_LaTbTm14
_cell_length_a 11.3404
_cell_length_b 7.0647
_cell_length_c 12.2137
_cell_angle_alpha 90.00
_cell_angle_beta 90.00
_cell_angle_gamma 90.00
_space_group_name_H-M_alt 'A m m 2'
_space_group_IT_number 38
_space_group_name_Hall 'A 2 -2'
loop_
_atom_site_label
_atom_site_type_symbol
_atom_site_fract_x
_atom_site_fract_y
_atom_site_fract_z
La1 La 0.0000 0.0000 0.0000
Tb1 Tb 0.0000 0.0000 0.5007
Tm1 Tm 0.0000 0.2496 0.2507
Tm2 Tm 0.2506 0.0000 0.6678
Tm3 Tm 0.2533 0.0000 0.1680
Tm4 Tm 0.2545 0.2490 0.4170
Tm5 Tm 0.5000 0.0000 0.3339
Tm6 Tm 0.5000 0.0000 0.8338
Tm7 Tm 0.5000 0.2495 0.5845
```

VASP calculation (GGA-PBE) on La2Tb2Tm5 after structural relaxation.

Values from the calculation:
* excess energy over the best structure of this formula in the dataset: 0.14 kcal/mol of atoms
* mass density: 7.84 Mg/m³
* crystal system: monoclinic
* DOS(E_F): 1.4962 states/eV per atom

Geometry as CIF:
```
data_La2Tb2Tm5
_cell_length_a 21.6055
_cell_length_b 3.4778
_cell_length_c 8.2602
_cell_angle_alpha 90.00
_cell_angle_beta 100.55
_cell_angle_gamma 90.00
_space_group_name_H-M_alt 'C 1 2/m 1'
_space_group_IT_number 12
_space_group_name_Hall '-C 2y'
loop_
_atom_site_label
_atom_site_type_symbol
_atom_site_fract_x
_atom_site_fract_y
_atom_site_fract_z
La1 La 0.1807 0.0000 0.1416
Tb1 Tb 0.0458 0.5000 0.3560
Tm1 Tm 0.0000 0.0000 0.0000
Tm2 Tm 0.0960 0.0000 0.7301
Tm3 Tm 0.1910 0.5000 0.5335
```

VASP calculation (GGA-PBE) on La3TbTm3 after structural relaxation.

Values from the calculation:
* excess energy over the best structure of this formula in the dataset: 3.55 kcal/mol of atoms
* mass density: 7.36 Mg/m³
* crystal system: trigonal
* DOS(E_F): 1.7607 states/eV per atom

Geometry as CIF:
```
data_La3TbTm3
_cell_length_a 6.2125
_cell_length_b 6.2125
_cell_length_c 43.8364
_cell_angle_alpha 90.00
_cell_angle_beta 90.00
_cell_angle_gamma 120.00
_space_group_name_H-M_alt 'R -3'
_space_group_IT_number 148
_space_group_name_Hall '-R 3'
loop_
_atom_site_label
_atom_site_type_symbol
_atom_site_fract_x
_atom_site_fract_y
_atom_site_fract_z
La1 La 0.0007 0.3303 0.1290
Tb1 Tb 0.0000 0.0000 0.3333
Tm1 Tm 0.0000 0.3327 0.9368
```

VASP calculation (GGA-PBE) on LaTb4Tm2 after structural relaxation.

Values from the calculation:
* excess energy over the best structure of this formula in the dataset: 0.00 kcal/mol of atoms
* mass density: 8.13 Mg/m³
* crystal system: triclinic
* DOS(E_F): 1.5727 states/eV per atom

Geometry as CIF:
```
data_LaTb4Tm2
_cell_length_a 7.0744
_cell_length_b 8.6130
_cell_length_c 8.8410
_cell_angle_alpha 114.69
_cell_angle_beta 101.39
_cell_angle_gamma 101.74
_space_group_name_H-M_alt 'P 1'
_space_group_IT_number 1
_space_group_name_Hall 'P 1'
loop_
_atom_site_label
_atom_site_type_symbol
_atom_site_fract_x
_atom_site_fract_y
_atom_site_fract_z
La1 La 0.0000 0.0000 0.0000
La2 La 0.3020 0.6710 0.5470
Tb1 Tb 0.0247 0.8286 0.2799
Tb2 Tb 0.1073 0.5554 0.8750
Tb3 Tb 0.3884 0.4039 0.1386
Tb4 Tb 0.4126 0.2304 0.4170
Tb5 Tb 0.5010 0.0026 0.0037
Tb6 Tb 0.6080 0.5550 0.8730
Tb7 Tb 0.7047 0.1172 0.7049
Tb8 Tb 0.9083 0.2331 0.4171
Tm1 Tm 0.2066 0.1227 0.7073
Tm2 Tm 0.5253 0.8254 0.2748
Tm3 Tm 0.8004 0.6684 0.5368
Tm4 Tm 0.8829 0.4055 0.1369
```

VASP calculation (GGA-PBE) on LaTb5Tm2 after structural relaxation.

Values from the calculation:
* VASP energy: -4.604 eV/atom
* mass density: 8.23 Mg/m³
* crystal system: orthorhombic
* DOS(E_F): 1.3892 states/eV per atom

Geometry as CIF:
```
data_LaTb5Tm2
_cell_length_a 7.1460
_cell_length_b 14.2926
_cell_length_c 5.0260
_cell_angle_alpha 90.00
_cell_angle_beta 90.00
_cell_angle_gamma 90.00
_space_group_name_H-M_alt 'P b a m'
_space_group_IT_number 55
_space_group_name_Hall '-P 2 2ab'
loop_
_atom_site_label
_atom_site_type_symbol
_atom_site_fract_x
_atom_site_fract_y
_atom_site_fract_z
La1 La 0.0000 0.0000 0.0000
Tb1 Tb 0.0000 0.5000 0.0000
Tb2 Tb 0.0024 0.2521 0.0000
Tb3 Tb 0.2471 0.6265 0.5000
Tm1 Tm 0.2505 0.3738 0.5000
```

VASP calculation (GGA-PBE) on La7TbTm4 after structural relaxation.

Values from the calculation:
* VASP energy: -4.737 eV/atom
* mass density: 7.30 Mg/m³
* crystal system: triclinic
* DOS(E_F): 1.5097 states/eV per atom

Geometry as CIF:
```
data_La7TbTm4
_cell_length_a 6.3813
_cell_length_b 7.3249
_cell_length_c 9.0501
_cell_angle_alpha 89.93
_cell_angle_beta 76.36
_cell_angle_gamma 89.93
_space_group_name_H-M_alt 'P -1'
_space_group_IT_number 2
_space_group_name_Hall '-P 1'
loop_
_atom_site_label
_atom_site_type_symbol
_atom_site_fract_x
_atom_site_fract_y
_atom_site_fract_z
La1 La 0.0000 0.0000 0.0000
La2 La 0.2236 0.9993 0.3341
La3 La 0.2817 0.7477 0.6639
La4 La 0.4995 0.7434 0.0036
Tb1 Tb 0.0000 0.5000 0.0000
Tm1 Tm 0.2154 0.5006 0.3358
Tm2 Tm 0.2763 0.2589 0.6668
```

VASP calculation (GGA-PBE) on La7Tb16Tm6 after structural relaxation.

Values from the calculation:
* VASP energy: -4.387 eV/atom
* mass density: 7.37 Mg/m³
* crystal system: cubic
* DOS(E_F): 1.9176 states/eV per atom

Geometry as CIF:
```
data_La7Tb16Tm6
_cell_length_a 15.9793
_cell_length_b 15.9793
_cell_length_c 15.9793
_cell_angle_alpha 90.00
_cell_angle_beta 90.00
_cell_angle_gamma 90.00
_space_group_name_H-M_alt 'F m -3 m'
_space_group_IT_number 225
_space_group_name_Hall '-F 4 2 3'
loop_
_atom_site_label
_atom_site_type_symbol
_atom_site_fract_x
_atom_site_fract_y
_atom_site_fract_z
La1 La 0.0000 0.0000 0.0000
La2 La 0.0000 0.2500 0.2500
Tb1 Tb 0.1298 0.1298 0.1298
Tb2 Tb 0.1500 0.1500 0.3500
Tm1 Tm 0.0000 0.0000 0.2524
```

VASP calculation (GGA-PBE) on La4TbTm8 after structural relaxation.

Values from the calculation:
* VASP energy: -4.072 eV/atom
* mass density: 7.29 Mg/m³
* crystal system: trigonal
* DOS(E_F): 1.8752 states/eV per atom

Geometry as CIF:
```
data_La4TbTm8
_cell_length_a 11.0202
_cell_length_b 11.0202
_cell_length_c 13.4315
_cell_angle_alpha 90.00
_cell_angle_beta 90.00
_cell_angle_gamma 120.00
_space_group_name_H-M_alt 'R -3 m'
_space_group_IT_number 166
_space_group_name_Hall '-R 3 2"'
loop_
_atom_site_label
_atom_site_type_symbol
_atom_site_fract_x
_atom_site_fract_y
_atom_site_fract_z
La1 La 0.0000 0.0000 0.0000
La2 La 0.0000 0.5000 0.0000
Tb1 Tb 0.0000 0.0000 0.5000
Tm1 Tm 0.0000 0.0000 0.2399
Tm2 Tm 0.0128 0.5064 0.7458
```

VASP calculation (GGA-PBE) on La4Tb3Tm4 after structural relaxation.

Values from the calculation:
* excess energy over the best structure of this formula in the dataset: 0.96 kcal/mol of atoms
* mass density: 7.86 Mg/m³
* crystal system: monoclinic
* DOS(E_F): 1.5704 states/eV per atom

Geometry as CIF:
```
data_La4Tb3Tm4
_cell_length_a 36.4509
_cell_length_b 3.5120
_cell_length_c 5.7107
_cell_angle_alpha 90.00
_cell_angle_beta 99.01
_cell_angle_gamma 90.00
_space_group_name_H-M_alt 'C 1 2/m 1'
_space_group_IT_number 12
_space_group_name_Hall '-C 2y'
loop_
_atom_site_label
_atom_site_type_symbol
_atom_site_fract_x
_atom_site_fract_y
_atom_site_fract_z
La1 La 0.0919 0.0000 0.0922
La2 La 0.2308 0.0000 0.7310
Tb1 Tb 0.0000 0.5000 0.0000
Tb2 Tb 0.1364 0.5000 0.6367
Tm1 Tm 0.0449 0.0000 0.5453
Tm2 Tm 0.1815 0.0000 0.1817
```